[1]
Below is a relaxed structure of Cs2RbCdAg, with properties calculated at the GGA-PBE level.

a = 7.229 Å, b = 7.229 Å, c = 5.691 Å
α = 90.00°, β = 90.00°, γ = 90.00°
Space group P4/mmm (No. 123)
Symmetry-distinct sites (fractional):
Cs  0.000  0.500  0.000 (multiplicity 2)
Rb  0.000  0.000  0.500 (multiplicity 1)
Cd  0.500  0.500  0.500 (multiplicity 1)
Ag  0.500  0.500  0.000 (multiplicity 1)

## Properties
Total magnetic moment: 0.0 Bohr magnetons per cell
Energy above the lowest structure with this stoichiometry: 0.0 meV/atom
Energy of formation from the pure elements: 0.06 eV per atom


[2]
Below is a relaxed structure of LiYP2, with properties calculated at the GGA-PBE level.

a = 4.725 Å, b = 5.282 Å, c = 5.620 Å
α = 90.00°, β = 90.00°, γ = 90.00°
Space group Cmmm (No. 65)
Symmetry-distinct sites (fractional):
Li  0.000  0.000  0.000 (multiplicity 2)
Y  0.000  0.000  0.500 (multiplicity 2)
P  0.000  0.500  0.203 (multiplicity 4)

## Properties
Total magnetic moment: 0.0 Bohr magnetons per cell
Energy above the lowest structure with this stoichiometry: 157.1 meV/atom
Energy of formation from the pure elements: -0.71 eV per atom


[3]
Below is a relaxed structure of TiCr2Mo, with properties calculated at the GGA-PBE level.

a = 6.030 Å, b = 6.030 Å, c = 6.030 Å
α = 90.00°, β = 90.00°, γ = 90.00°
Space group Fm-3m (No. 225)
Symmetry-distinct sites (fractional):
Ti  0.000  0.000  0.000 (multiplicity 4)
Cr  0.250  0.250  0.250 (multiplicity 8)
Mo  0.000  0.000  0.500 (multiplicity 4)

## Properties
Total magnetic moment: 0.0 Bohr magnetons per cell
Energy above the lowest structure with this stoichiometry: 0.0 meV/atom
Energy of formation from the pure elements: -0.03 eV per atom


[4]
Below is a relaxed structure of Ac4InNi, with properties calculated at the GGA-PBE level.

a = 14.888 Å, b = 14.888 Å, c = 14.888 Å
α = 90.00°, β = 90.00°, γ = 90.00°
Space group F-43m (No. 216)
Symmetry-distinct sites (fractional):
Ac  0.000  0.000  0.186 (multiplicity 24)
Ac  0.058  0.250  0.750 (multiplicity 24)
Ac  0.097  0.097  0.403 (multiplicity 16)
In  0.173  0.173  0.173 (multiplicity 16)
Ni  0.108  0.108  0.608 (multiplicity 16)

## Properties
Total magnetic moment: 0.0 Bohr magnetons per cell
Energy above the lowest structure with this stoichiometry: 0.0 meV/atom
Energy of formation from the pure elements: -0.24 eV per atom


[5]
Below is a relaxed structure of CaDyPt2, with properties calculated at the GGA-PBE level.

a = 6.960 Å, b = 6.960 Å, c = 6.960 Å
α = 90.00°, β = 90.00°, γ = 90.00°
Space group Fm-3m (No. 225)
Symmetry-distinct sites (fractional):
Ca  0.000  0.000  0.000 (multiplicity 4)
Dy  0.000  0.000  0.500 (multiplicity 4)
Pt  0.250  0.250  0.250 (multiplicity 8)

## Properties
Total magnetic moment: 0.0 Bohr magnetons per cell
Energy above the lowest structure with this stoichiometry: 41.2 meV/atom
Energy of formation from the pure elements: -1.07 eV per atom


[6]
Below is a relaxed structure of Rb2AcCrS4, with properties calculated at the GGA-PBE level.

a = 7.556 Å, b = 7.556 Å, c = 9.108 Å
α = 90.00°, β = 90.00°, γ = 90.00°
Space group I-4 (No. 82)
Symmetry-distinct sites (fractional):
Rb  0.000  0.000  0.000 (multiplicity 2)
Rb  0.000  0.500  0.250 (multiplicity 2)
Ac  0.000  0.500  0.750 (multiplicity 2)
Cr  0.000  0.000  0.500 (multiplicity 2)
S  0.175  0.221  0.596 (multiplicity 8)

## Properties
Total magnetic moment: 6.0 Bohr magnetons per cell
Formation energy (no corrections): -1.159 eV/atom


[7]
Below is a relaxed structure of GaBiPb, with properties calculated at the GGA-PBE level.

a = 5.348 Å, b = 4.455 Å, c = 7.586 Å
α = 90.00°, β = 108.37°, γ = 90.00°
Space group P2_1/m (No. 11)
Symmetry-distinct sites (fractional):
Ga  0.050  0.250  0.128 (multiplicity 2)
Bi  0.408  0.250  0.828 (multiplicity 2)
Pb  0.225  0.750  0.459 (multiplicity 2)

## Properties
Total magnetic moment: 0.0 Bohr magnetons per cell
Energy above the lowest structure with this stoichiometry: 0.3 meV/atom
Energy of formation from the pure elements: 0.06 eV per atom


[8]
Below is a relaxed structure of PtW3, with properties calculated at the GGA-PBE level.

a = 4.867 Å, b = 9.233 Å, c = 5.688 Å
α = 90.00°, β = 90.00°, γ = 90.00°
Space group Pnma (No. 62)
Symmetry-distinct sites (fractional):
Pt  0.094  0.250  0.120 (multiplicity 4)
W  0.100  0.250  0.616 (multiplicity 4)
W  0.240  0.501  0.865 (multiplicity 8)

## Properties
Total magnetic moment: 0.0 Bohr magnetons per cell
Energy of formation from the pure elements: 0.08 eV per atom